# Ba2MnZnO (GGA+U, optimized geometry)
data_Ba2MnZnO
_chemical_formula_sum 'Ba2 Mn1 Zn1 O1'
_space_group_name_H-M_alt 'P 4/m m m'
_space_group_IT_number 123
_space_group_name_Hall '-P 4 2'
_cell_length_a 6.100
_cell_length_b 6.100
_cell_length_c 4.661
_cell_angle_alpha 90.00
_cell_angle_beta 90.00
_cell_angle_gamma 90.00
loop_
_atom_site_label
_atom_site_fract_x
_atom_site_fract_y
_atom_site_fract_z
Ba1 0.000 0.500 0.000
Mn1 0.000 0.000 0.000
Zn1 0.000 0.000 0.500
O1 0.500 0.500 0.500
# - energy (eV per atom) = -3.187
# - magnetization (μB/f.u.) = 3.43